(1)
DFT (PBE) results for a relaxed Ba2Cd3Ag4Hg crystal.

Cell: 4.968 4.968 11.254 Å, 90.00 90.00 90.00°
Space group P-4m2 (No. 115)
Asymmetric unit:
Ba1 0.000 0.500 0.247
Cd1 0.000 0.500 0.879
Cd2 0.500 0.500 0.500
Ag1 0.000 0.000 0.000
Ag2 0.000 0.500 0.633
Ag3 0.500 0.500 0.000
Hg1 0.000 0.000 0.500

ΔE_f	-0.238	eV/atom
Fermi-level density of states	3.77	states/eV/cell

(2)
DFT (PBE) results for a relaxed LaZn5 crystal.

Cell: 3.373 3.373 9.876 Å, 90.00 90.00 90.00°
Space group P4/mmm (No. 123)
Asymmetric unit:
La1 0.000 0.000 0.000
Zn1 0.000 0.000 0.359
Zn2 0.500 0.500 0.223
Zn3 0.500 0.500 0.500

ΔE_f	-0.095	eV/atom
Fermi-level density of states	2.85	states/eV/cell

(3)
DFT (PBE) results for a relaxed YAgS2 crystal.

Cell: 6.756 6.756 6.756 Å, 90.00 90.00 90.00°
Space group Fm-3m (No. 225)
Asymmetric unit:
Y1 0.000 0.000 0.000
Ag1 0.000 0.000 0.500
S1 0.250 0.250 0.250

Fermi-level density of states	0.00	states/eV/cell
formation energy without anion corrections	-1.073	eV per atom

(4)
DFT (PBE) results for a relaxed K2CuW crystal.

Cell: 3.149 3.149 10.951 Å, 90.00 90.00 90.00°
Space group P4mm (No. 99)
Asymmetric unit:
K1 0.000 0.000 0.000
K2 0.500 0.500 0.393
Cu1 0.500 0.500 0.770
W1 0.000 0.000 0.652

ΔE_f	1.001	eV/atom
Fermi-level density of states	2.43	states/eV/cell

(5)
DFT (PBE) results for a relaxed Pr3Sn2H crystal.

Cell: 11.905 6.520 8.883 Å, 90.00 105.11 90.00°
Space group C2/c (No. 15)
Asymmetric unit:
Pr1 0.000 0.145 0.250
Pr2 0.145 0.376 0.653
Sn1 0.149 0.133 0.007
H1 0.000 0.490 0.250

total energy	-29.5	eV/f.u.
Fermi-level density of states	13.90	states/eV/cell

(6)
DFT (PBE) results for a relaxed CeAg3Se3 crystal.

Cell: 7.5986 7.5986 21.0484 Å, 90.00 90.00 120.00°
Space group R-3 (No. 148, hexagonal axes)
Asymmetric unit:
Ce1 0.0000 0.0000 0.1665
Ag1 0.0026 0.6587 0.3747
Se1 0.9998 0.3326 0.7578

Fermi-level density of states	40.96	states/eV/cell
formation energy without anion corrections	-0.702	eV per atom

(7)
DFT (PBE) results for a relaxed NiMoPCl2 crystal.

Cell: 4.446 4.446 4.762 Å, 90.00 90.00 90.00°
Space group P4/mmm (No. 123)
Asymmetric unit:
Ni1 0.000 0.000 0.000
Mo1 0.500 0.500 0.500
P1 0.000 0.000 0.500
Cl1 0.000 0.500 0.000

Fermi-level density of states	1.71	states/eV/cell
formation energy without anion corrections	0.641	eV per atom

(8)
DFT (PBE) results for a relaxed CsKLiHg2 crystal.

Cell: 5.642 5.642 6.128 Å, 90.00 90.00 90.00°
Space group P4/mmm (No. 123)
Asymmetric unit:
Cs1 0.000 0.000 0.000
K1 0.500 0.500 0.000
Li1 0.000 0.000 0.500
Hg1 0.000 0.500 0.500

ΔE_f	-0.026	eV/atom
Fermi-level density of states	2.87	states/eV/cell

Which value of Fermi-level density of states does entry 8 give?
2.87 states/eV/cell

Look up the Fermi-level density of states of the third one.
0.00 states/eV/cell

Copy entry 4 word for word.
DFT (PBE) results for a relaxed K2CuW crystal.

Cell: 3.149 3.149 10.951 Å, 90.00 90.00 90.00°
Space group P4mm (No. 99)
Asymmetric unit:
K1 0.000 0.000 0.000
K2 0.500 0.500 0.393
Cu1 0.500 0.500 0.770
W1 0.000 0.000 0.652

ΔE_f	1.001	eV/atom
Fermi-level density of states	2.43	states/eV/cell

The lowest Fermi-level density of states belongs to which entry?
YAgS2